A relaxed TlIn3 crystal. Source: the Alexandria database, functional PBE-GGA.

a = 4.6643 Å, b = 4.6643 Å, c = 10.3387 Å
α = 90.00°, β = 90.00°, γ = 90.00°
Last column: nearest neighbours and their distance in Å.
Fractional positions:
Tl: 0.0000 0.0000 0.0000  12 In 3.30-3.48
Tl: 0.5000 0.5000 0.5000  12 In 3.30-3.48
In: 0.0000 0.0000 0.5000  4 Tl 3.30, 8 In 3.48
In: 0.0000 0.5000 0.2500  8 In 3.30-3.48, 4 Tl 3.48
In: 0.0000 0.5000 0.7500  8 In 3.30-3.48, 4 Tl 3.48
In: 0.5000 0.0000 0.2500  8 In 3.30-3.48, 4 Tl 3.48
In: 0.5000 0.0000 0.7500  8 In 3.30-3.48, 4 Tl 3.48
In: 0.5000 0.5000 0.0000  4 Tl 3.30, 8 In 3.48

Results
magnetic moment: 0.00 μB per formula unit
crystal system: tetragonal
SG: I4/mmm (139)
E_form: 0.03 eV/atom

---

A relaxed TaHgCl2 crystal. Source: the Alexandria database, functional PBE-GGA.

a = 3.0062 Å, b = 6.0816 Å, c = 11.2586 Å
α = 90.00°, β = 90.00°, γ = 90.00°
Last column: nearest neighbours and their distance in Å.
Fractional positions:
Ta: 0.0000 0.0000 0.0000  4 Cl 2.48
Ta: 0.5000 0.5000 0.0000  4 Cl 2.48
Hg: 0.0000 0.0000 0.5000  2 Hg 3.01
Hg: 0.5000 0.5000 0.5000  2 Hg 3.01
Cl: 0.0000 0.5000 0.1756  2 Ta 2.48
Cl: 0.0000 0.5000 0.8244  2 Ta 2.48
Cl: 0.5000 0.0000 0.1756  2 Ta 2.48
Cl: 0.5000 0.0000 0.8244  2 Ta 2.48

Results
polymorph energy (0 for the lowest one): 0.142 eV/atom
magnetic moment: 0.00 μB per formula unit
crystal system: orthorhombic
SG: Cmmm (65)
ΔE_f (raw): -436 meV per atom

---

A relaxed RbU2NiS4 crystal. Source: the Alexandria database, functional PBE-GGA.

a = 7.1706 Å, b = 7.1706 Å, c = 13.4837 Å
α = 90.00°, β = 90.00°, γ = 148.48°
Last column: nearest neighbours and their distance in Å.
Fractional positions:
Rb: 0.0999 0.9001 0.7500  6 S 3.19-3.31
Rb: 0.9001 0.0999 0.2500  6 S 3.19-3.31
U: 0.3653 0.6347 0.5601  6 S 2.66-2.81
U: 0.3653 0.6347 0.9399  6 S 2.66-2.81
U: 0.6347 0.3653 0.0601  6 S 2.66-2.81
U: 0.6347 0.3653 0.4399  6 S 2.66-2.81
Ni: 0.1713 0.8287 0.2500  4 S 2.24-2.29
Ni: 0.8287 0.1713 0.7500  4 S 2.24-2.29
S: 0.0000 0.0000 0.0000  4 U 2.81
S: 0.0000 0.0000 0.5000  4 U 2.81
S: 0.2616 0.7384 0.1117  1 Ni 2.24
S: 0.2616 0.7384 0.3883  1 Ni 2.24
S: 0.4165 0.5835 0.7500  2 Ni 2.29
S: 0.5835 0.4165 0.2500  2 Ni 2.29
S: 0.7384 0.2616 0.6117  1 Ni 2.24
S: 0.7384 0.2616 0.8883  1 Ni 2.24

Results
magnetic moment: 4.84 μB per formula unit
crystal system: orthorhombic
SG: Cmcm (63)
ΔE_f (raw): -1257 meV per atom

---

A relaxed Sc3FeW crystal. Source: the Alexandria database, functional PBE-GGA.

a = 4.9866 Å, b = 4.9866 Å, c = 4.9866 Å
α = 90.00°, β = 90.00°, γ = 90.00°
Last column: nearest neighbours and their distance in Å.
Fractional positions:
Sc: 0.0000 0.0000 0.5000  2 W 2.49
Sc: 0.0000 0.5000 0.0000  2 W 2.49
Sc: 0.5000 0.0000 0.0000  2 W 2.49
Fe: 0.5000 0.5000 0.5000  12 Sc 3.53
W: 0.0000 0.0000 0.0000  6 Sc 2.49

Results
polymorph energy (0 for the lowest one): 0.554 eV/atom
magnetic moment: 0.19 μB per formula unit
crystal system: cubic
SG: Pm-3m (221)
E_form: 1.25 eV/atom

---

A relaxed Ba6Na2TlPt crystal. Source: the Alexandria database, functional PBE-GGA.

a = 9.2719 Å, b = 9.2719 Å, c = 9.2593 Å
α = 119.93°, β = 119.93°, γ = 90.00°
Last column: nearest neighbours and their distance in Å.
Fractional positions:
Ba: 0.2392 0.2392 0.9987  1 Pt 3.14, 1 Tl 3.41
Ba: 0.2397 0.2397 0.4793  1 Pt 3.14, 1 Tl 3.42
Ba: 0.2397 0.7603 0.0000  1 Pt 3.14, 1 Tl 3.41
Ba: 0.7603 0.2397 0.0000  1 Pt 3.14, 1 Tl 3.41
Ba: 0.7603 0.7603 0.5207  1 Pt 3.14, 1 Tl 3.42
Ba: 0.7608 0.7608 0.0013  1 Pt 3.14, 1 Tl 3.41
Na: 0.2499 0.7501 0.5000  12 Ba 4.63-4.65
Na: 0.7501 0.2499 0.5000  12 Ba 4.63-4.65
Tl: 0.5000 0.5000 0.0000  6 Ba 3.41-3.42
Pt: 0.0000 0.0000 0.0000  6 Ba 3.14

Results
magnetic moment: 0.00 μB per formula unit
crystal system: monoclinic
SG: C2/m (12)
E_form: -0.22 eV/atom

---

A relaxed Sm3Ho crystal. Source: the Alexandria database, functional PBE-GGA.

a = 7.3095 Å, b = 7.3095 Å, c = 5.7769 Å
α = 90.00°, β = 90.00°, γ = 120.00°
Last column: nearest neighbours and their distance in Å.
Fractional positions:
Sm: 0.1671 0.3342 0.2500  4 Ho 3.57-3.65, 8 Sm 3.58-3.66
Sm: 0.1671 0.8329 0.2500  4 Ho 3.57-3.65, 8 Sm 3.58-3.66
Sm: 0.3342 0.1671 0.7500  4 Ho 3.57-3.65, 8 Sm 3.58-3.66
Sm: 0.6658 0.8329 0.2500  4 Ho 3.57-3.65, 8 Sm 3.58-3.66
Sm: 0.8329 0.1671 0.7500  4 Ho 3.57-3.65, 8 Sm 3.58-3.66
Sm: 0.8329 0.6658 0.7500  4 Ho 3.57-3.65, 8 Sm 3.58-3.66
Ho: 0.3333 0.6667 0.7500  12 Sm 3.57-3.65
Ho: 0.6667 0.3333 0.2500  12 Sm 3.57-3.65

Results
polymorph energy (0 for the lowest one): 0.005 eV/atom
magnetic moment: 0.00 μB per formula unit
crystal system: hexagonal
SG: P6_3/mmc (194)
E_form: 0.02 eV/atom

---

A relaxed TaSbPt crystal. Source: the Alexandria database, functional PBE-GGA.

a = 13.0386 Å, b = 4.1763 Å, c = 4.3885 Å
α = 90.00°, β = 90.00°, γ = 90.00°
Last column: nearest neighbours and their distance in Å.
Fractional positions:
Ta: 0.1446 0.0000 0.0000  4 Pt 2.81-2.89, 4 Sb 2.94-3.02, 4 Ta 3.03
Ta: 0.1446 0.5000 0.5000  4 Pt 2.81-2.89, 4 Sb 2.94-3.02, 4 Ta 3.03
Ta: 0.8554 0.0000 0.0000  4 Pt 2.81-2.89, 4 Sb 2.94-3.02, 4 Ta 3.03
Ta: 0.8554 0.5000 0.5000  4 Pt 2.81-2.89, 4 Sb 2.94-3.02, 4 Ta 3.03
Sb: 0.3033 0.0000 0.4974  1 Pt 2.56
Sb: 0.3033 0.5000 0.9974  1 Pt 2.56
Sb: 0.6967 0.0000 0.4974  1 Pt 2.56
Sb: 0.6967 0.5000 0.9974  1 Pt 2.56
Pt: 0.0000 0.0000 0.5002  8 Ta 2.81-2.89, 4 Pt 3.03
Pt: 0.0000 0.5000 0.0002  8 Ta 2.81-2.89, 4 Pt 3.03
Pt: 0.5000 0.0000 0.4983  2 Sb 2.56
Pt: 0.5000 0.5000 0.9983  2 Sb 2.56

Results
magnetic moment: 0.00 μB per formula unit
crystal system: orthorhombic
SG: Amm2 (38)
ΔE_f (raw): -76 meV per atom

---

A relaxed CsMgTa crystal. Source: the Alexandria database, functional PBE-GGA.

a = 27.6902 Å, b = 4.9043 Å, c = 3.4756 Å
α = 90.00°, β = 96.45°, γ = 90.00°
Last column: nearest neighbours and their distance in Å.
Fractional positions:
Cs: 0.1608 0.0000 0.4893  1 Ta 3.47, 2 Cs 3.48
Cs: 0.3392 0.5000 0.5107  1 Ta 3.47, 2 Cs 3.48
Cs: 0.6608 0.5000 0.4893  1 Ta 3.47, 2 Cs 3.48
Cs: 0.8392 0.0000 0.5107  1 Ta 3.47, 2 Cs 3.48
Mg: 0.0449 0.5021 0.7905  6 Ta 3.01-3.30, 2 Mg 3.02
Mg: 0.4551 0.0021 0.2095  6 Ta 3.01-3.30, 2 Mg 3.02
Mg: 0.5449 0.0021 0.7905  6 Ta 3.01-3.30, 2 Mg 3.02
Mg: 0.9551 0.5021 0.2095  6 Ta 3.01-3.30, 2 Mg 3.02
Ta: 0.0352 0.0021 0.2788  2 Ta 2.59-2.62
Ta: 0.4648 0.5021 0.7212  2 Ta 2.59-2.62
Ta: 0.5352 0.5021 0.2788  2 Ta 2.59-2.62
Ta: 0.9648 0.0021 0.7212  2 Ta 2.59-2.62

Results
polymorph energy (0 for the lowest one): 0.065 eV/atom
magnetic moment: 0.00 μB per formula unit
crystal system: monoclinic
SG: C2 (5)
E_form: 0.63 eV/atom

---

A relaxed Pr3Nd3ScSe8 crystal. Source: the Alexandria database, functional PBE-GGA.

a = 8.4362 Å, b = 8.4362 Å, c = 8.4362 Å
α = 59.88°, β = 59.88°, γ = 59.88°
Last column: nearest neighbours and their distance in Å.
Fractional positions:
Pr: 0.0000 0.5000 0.5000  6 Se 2.99-3.00
Pr: 0.5000 0.0000 0.5000  6 Se 2.99-3.00
Pr: 0.5000 0.5000 0.0000  6 Se 2.99-3.00
Nd: 0.0000 0.0000 0.5000  6 Se 2.97
Nd: 0.0000 0.5000 0.0000  6 Se 2.97
Nd: 0.5000 0.0000 0.0000  6 Se 2.97
Sc: 0.5000 0.5000 0.5000  6 Se 2.83
Se: 0.2491 0.2491 0.2491  3 Nd 2.97, 3 Pr 2.99
Se: 0.2607 0.7373 0.7373  1 Sc 2.83, 2 Nd 2.97, 2 Pr 3.00
Se: 0.2627 0.2627 0.7393  1 Sc 2.83, 2 Nd 2.97, 2 Pr 3.00
Se: 0.2627 0.7393 0.2627  1 Sc 2.83, 2 Nd 2.97, 2 Pr 3.00
Se: 0.7373 0.2607 0.7373  1 Sc 2.83, 2 Nd 2.97, 2 Pr 3.00
Se: 0.7373 0.7373 0.2607  1 Sc 2.83, 2 Nd 2.97, 2 Pr 3.00
Se: 0.7393 0.2627 0.2627  1 Sc 2.83, 2 Nd 2.97, 2 Pr 3.00
Se: 0.7509 0.7509 0.7509  3 Nd 2.97, 3 Pr 2.99

Results
magnetic moment: 0.00 μB per formula unit
crystal system: trigonal
SG: R-3m (166)
ΔE_f (raw): -1842 meV per atom

---

A relaxed PmPr8Dy3 crystal. Source: the Alexandria database, functional PBE-GGA.

a = 8.5698 Å, b = 8.5698 Å, c = 8.5698 Å
α = 117.88°, β = 117.88°, γ = 93.72°
Last column: nearest neighbours and their distance in Å.
Fractional positions:
Pm: 0.0000 0.0000 0.0000  8 Pr 3.15-3.34
Pr: 0.1275 0.3763 0.0000  3 Pr 3.11-3.36, 1 Dy 3.30, 1 Pm 3.34
Pr: 0.2459 0.2459 0.5042  1 Dy 3.10, 1 Pm 3.15, 2 Pr 3.29-3.36
Pr: 0.2583 0.7541 0.0000  1 Dy 3.10, 1 Pm 3.15, 2 Pr 3.29-3.36
Pr: 0.3763 0.1275 0.0000  3 Pr 3.11-3.36, 1 Dy 3.30, 1 Pm 3.34
Pr: 0.6237 0.6237 0.7512  3 Pr 3.11-3.36, 1 Dy 3.30, 1 Pm 3.34
Pr: 0.7417 0.7417 0.4958  1 Dy 3.10, 1 Pm 3.15, 2 Pr 3.29-3.36
Pr: 0.7541 0.2583 0.0000  1 Dy 3.10, 1 Pm 3.15, 2 Pr 3.29-3.36
Pr: 0.8725 0.8725 0.2488  3 Pr 3.11-3.36, 1 Dy 3.30, 1 Pm 3.34
Dy: 0.2500 0.7500 0.5000  4 Pr 3.50
Dy: 0.5000 0.5000 0.0000  8 Pr 3.10-3.30
Dy: 0.7500 0.2500 0.5000  4 Pr 3.50

Results
magnetic moment: 0.00 μB per formula unit
crystal system: tetragonal
SG: I-42m (121)
E_form: 0.56 eV/atom

---

A relaxed AlInBr2 crystal. Source: the Alexandria database, functional PBE-GGA.

a = 7.6923 Å, b = 7.6923 Å, c = 7.6923 Å
α = 90.00°, β = 90.00°, γ = 90.00°
Last column: nearest neighbours and their distance in Å.
Fractional positions:
Al: 0.0000 0.0000 0.0000  4 In 3.33, 4 Br 3.33
Al: 0.0000 0.5000 0.5000  4 In 3.33, 4 Br 3.33
Al: 0.5000 0.0000 0.5000  4 In 3.33, 4 Br 3.33
Al: 0.5000 0.5000 0.0000  4 In 3.33, 4 Br 3.33
In: 0.2500 0.2500 0.7500  4 Br 3.33, 4 Al 3.33
In: 0.2500 0.7500 0.2500  4 Br 3.33, 4 Al 3.33
In: 0.7500 0.2500 0.2500  4 Br 3.33, 4 Al 3.33
In: 0.7500 0.7500 0.7500  4 Br 3.33, 4 Al 3.33
Br: 0.0000 0.0000 0.5000  4 In 3.33, 4 Br 3.33
Br: 0.0000 0.5000 0.0000  4 In 3.33, 4 Br 3.33
Br: 0.2500 0.2500 0.2500  4 Br 3.33, 4 Al 3.33
Br: 0.2500 0.7500 0.7500  4 Br 3.33, 4 Al 3.33
Br: 0.5000 0.0000 0.0000  4 In 3.33, 4 Br 3.33
Br: 0.5000 0.5000 0.5000  4 In 3.33, 4 Br 3.33
Br: 0.7500 0.2500 0.7500  4 Br 3.33, 4 Al 3.33
Br: 0.7500 0.7500 0.2500  4 Br 3.33, 4 Al 3.33

Results
polymorph energy (0 for the lowest one): 0.383 eV/atom
magnetic moment: 0.00 μB per formula unit
crystal system: cubic
SG: F-43m (216)
ΔE_f (raw): -96 meV per atom

---

A relaxed PrZnGaPt3 crystal. Source: the Alexandria database, functional PBE-GGA.

a = 6.9733 Å, b = 6.9733 Å, c = 5.7185 Å
α = 90.00°, β = 90.00°, γ = 121.15°
Last column: nearest neighbours and their distance in Å.
Fractional positions:
Pr: 0.2079 0.7921 0.7500  2 Ga 3.02, 1 Zn 3.05, 6 Pt 3.20-3.23
Pr: 0.7921 0.2079 0.2500  2 Ga 3.02, 1 Zn 3.05, 6 Pt 3.20-3.23
Zn: 0.4587 0.5413 0.7500  5 Pt 2.51-2.61
Zn: 0.5413 0.4587 0.2500  5 Pt 2.51-2.61
Ga: 0.1271 0.8729 0.2500  5 Pt 2.43-2.54
Ga: 0.8729 0.1271 0.7500  5 Pt 2.43-2.54
Pt: 0.2080 0.2080 0.0000  2 Zn 2.51, 2 Ga 2.54
Pt: 0.2080 0.2080 0.5000  2 Zn 2.51, 2 Ga 2.54
Pt: 0.3268 0.6732 0.2500  1 Ga 2.43, 1 Zn 2.61
Pt: 0.6732 0.3268 0.7500  1 Ga 2.43, 1 Zn 2.61
Pt: 0.7920 0.7920 0.0000  2 Zn 2.51, 2 Ga 2.54
Pt: 0.7920 0.7920 0.5000  2 Zn 2.51, 2 Ga 2.54

Results
magnetic moment: 0.00 μB per formula unit
crystal system: orthorhombic
SG: Cmcm (63)
E_form: -0.64 eV/atom

---

Question: Which formula does entry 9 have?
Answer: Pr3Nd3ScSe8

---

Question: Which value of magnetic moment does entry 3 give?
Answer: 4.84 μB per formula unit

---

Copy entry 3 word for word.
A relaxed RbU2NiS4 crystal. Source: the Alexandria database, functional PBE-GGA.

a = 7.1706 Å, b = 7.1706 Å, c = 13.4837 Å
α = 90.00°, β = 90.00°, γ = 148.48°
Last column: nearest neighbours and their distance in Å.
Fractional positions:
Rb: 0.0999 0.9001 0.7500  6 S 3.19-3.31
Rb: 0.9001 0.0999 0.2500  6 S 3.19-3.31
U: 0.3653 0.6347 0.5601  6 S 2.66-2.81
U: 0.3653 0.6347 0.9399  6 S 2.66-2.81
U: 0.6347 0.3653 0.0601  6 S 2.66-2.81
U: 0.6347 0.3653 0.4399  6 S 2.66-2.81
Ni: 0.1713 0.8287 0.2500  4 S 2.24-2.29
Ni: 0.8287 0.1713 0.7500  4 S 2.24-2.29
S: 0.0000 0.0000 0.0000  4 U 2.81
S: 0.0000 0.0000 0.5000  4 U 2.81
S: 0.2616 0.7384 0.1117  1 Ni 2.24
S: 0.2616 0.7384 0.3883  1 Ni 2.24
S: 0.4165 0.5835 0.7500  2 Ni 2.29
S: 0.5835 0.4165 0.2500  2 Ni 2.29
S: 0.7384 0.2616 0.6117  1 Ni 2.24
S: 0.7384 0.2616 0.8883  1 Ni 2.24

Results
magnetic moment: 4.84 μB per formula unit
crystal system: orthorhombic
SG: Cmcm (63)
ΔE_f (raw): -1257 meV per atom

---

Question: Look up the magnetic moment of the tenth one.
Answer: 0.00 μB per formula unit